An optimized crystal structure of Dy3Se2. Source: Alexandria via LeMat-Bulk, functional PBE-GGA.

```
Dy3Se2
1.0
3.4626 1.9991 6.5771
-3.4626 1.9991 6.5771
0.0000 -3.9983 6.5771
Dy Se
6 4
direct
0.0818 0.7500 0.4182
0.2500 0.5818 0.9182
0.4182 0.0818 0.7500
0.5818 0.9182 0.2500
0.7500 0.4182 0.0818
0.9182 0.2500 0.5818
0.1633 0.1633 0.1633
0.3367 0.3367 0.3367
0.6633 0.6633 0.6633
0.8367 0.8367 0.8367
```

Properties
N(E_F)   4.70 states/eV/f.u.
DFT total energy   -5.44 eV/atom
E_form (uncorrected)   -1280 meV per atom
Space-group type   No. 167
Theoretical density   7.847 g/cm3
Volume   27.3 A^3/atom